Entry 1:
CaHoMg2Au4 after structural relaxation. Source: the Alexandria database, functional PBE-GGA.

Properties
Energy of formation from the pure elements ... -0.726 eV/atom
Total magnetization ... 0.000 μB/atom

a = 4.9304 Å, b = 4.9304 Å, c = 23.9681 Å
α = 90.00°, β = 90.00°, γ = 120.00°
Space group R-3m (No. 166, hexagonal axes)
Unique sites:
Ca 0.0000 0.0000 0.0000 x3
Ho 0.0000 0.0000 0.5000 x3
Mg 0.0000 0.0000 0.2507 x6
Au 0.0000 0.0000 0.1283 x6
Au 0.0000 0.0000 0.3769 x6

***

Entry 2:
Y10Ho4Tm after structural relaxation. Source: the Alexandria database, functional PBE-GGA.

Properties
Energy of formation from the pure elements ... 0.730 eV/atom
Total magnetization ... 0.000 μB/atom

a = 12.138 Å, b = 12.138 Å, c = 7.673 Å
α = 90.00°, β = 90.00°, γ = 90.00°
Space group I4/m (No. 87)
Unique sites:
Y 0.000 0.500 0.250 x4
Y 0.099 0.200 0.250 x16
Ho 0.100 0.701 0.000 x8
Tm 0.000 0.000 0.500 x2